1.
First-principles (GGA-PBE) data for a relaxed Ca6CuAu5 crystal, as listed in Alexandria via LeMat-Bulk.

The structure belongs to space group Cmmm (No. 65); the cell edges are 5.127, 15.331 and 7.335 Å and the angles 90.00°, 90.00° and 90.00°. The distinct sites, in fractional coordinates, are Ca at (0.000, 0.000, 0.250), Ca at (0.000, 0.333, 0.249), Cu at (0.000, 0.500, 0.000), Au at (0.000, 0.163, 0.000), Au at (0.000, 0.168, 0.500) and Au at (0.000, 0.500, 0.500).

The energy relative to the elements comes out at -666 meV/atom. The density of states at the Fermi level is 0.6878 states/eV per atom.

2.
First-principles (GGA-PBE) data for a relaxed Dy6AsP3Se2 crystal, as listed in Alexandria via LeMat-Bulk.

The structure belongs to space group C2/m (No. 12); the cell edges are 17.696, 4.040 and 8.124 Å and the angles 90.00°, 103.76° and 90.00°. The distinct sites, in fractional coordinates, are Dy at (0.004, 0.000, 0.248), Dy at (0.161, 0.500, 0.095), Dy at (0.168, 0.500, 0.572), As at (0.000, 0.500, 0.500), P at (0.000, 0.500, 0.000), P at (0.168, 0.000, 0.333) and Se at (0.168, 0.000, 0.836).

The value obtained for the uncorrected formation energy is -1729 meV per atom. The density of states at the Fermi level is 0.2965 states/eV per atom.

3.
First-principles (GGA-PBE) data for a relaxed NdSmCuRu crystal, as listed in Alexandria via LeMat-Bulk.

The structure belongs to space group F-43m (No. 216); the cell edges are 7.052, 7.052 and 7.052 Å and the angles 90.00°, 90.00° and 90.00°. The distinct sites, in fractional coordinates, are Nd at (0.000, 0.000, 0.000), Sm at (0.000, 0.000, 0.500), Cu at (0.250, 0.250, 0.250) and Ru at (0.250, 0.250, 0.750).

The energy relative to the elements comes out at -195 meV/atom. The density of states at the Fermi level is 0.6151 states/eV per atom.

4.
First-principles (GGA-PBE) data for a relaxed LiHoSn2Pt4 crystal, as listed in Alexandria via LeMat-Bulk.

The structure belongs to space group R-3m (No. 166, hexagonal axes); the cell edges are 4.5233, 4.5233 and 24.6761 Å and the angles 90.00°, 90.00° and 120.00°. The distinct sites, in fractional coordinates, are Li at (0.0000, 0.0000, 0.0000), Ho at (0.0000, 0.0000, 0.5000), Sn at (0.0000, 0.0000, 0.2569), Pt at (0.0000, 0.0000, 0.1034) and Pt at (0.0000, 0.0000, 0.3691).

The energy relative to the elements comes out at -763 meV/atom. The density of states at the Fermi level is 0.4206 states/eV per atom.